Material: Ac2TbAsO8
Method: DFT, PBE
State: relaxed

Geometry as CIF:
```
data_Ac2TbAsO8
_space_group_name_H-M_alt 'P -3 m 1'
_space_group_IT_number 164
_space_group_name_Hall '-P 3 2"'
_cell_length_a 5.6356
_cell_length_b 5.6356
_cell_length_c 6.2275
_cell_angle_alpha 90.00
_cell_angle_beta 90.00
_cell_angle_gamma 120.00
loop_
_atom_site_label
_atom_site_type_symbol
_atom_site_fract_x
_atom_site_fract_y
_atom_site_fract_z
Ac1 Ac 0.3333 0.6667 0.3600
Tb1 Tb 0.0000 0.0000 0.0000
As1 As 0.0000 0.0000 0.5000
O1 O 0.1521 0.3042 0.6800
O2 O 0.3333 0.6667 0.0128
```

Summary:
Fermi-level density of states: 0.021 states/eV per atom
density: 7.9 Mg/m³
energy relative to the elements, uncorrected: -49.85 kcal/mol of atoms

Material: La3Tb2Y4
Method: DFT, PBE
State: relaxed

Geometry as CIF:
```
data_La3Tb2Y4
_space_group_name_H-M_alt 'C 1 2/m 1'
_space_group_IT_number 12
_space_group_name_Hall '-C 2y'
_cell_length_a 15.8145
_cell_length_b 3.6317
_cell_length_c 10.8523
_cell_angle_alpha 90.00
_cell_angle_beta 103.47
_cell_angle_gamma 90.00
loop_
_atom_site_label
_atom_site_type_symbol
_atom_site_fract_x
_atom_site_fract_y
_atom_site_fract_z
La1 La 0.0000 0.0000 0.0000
La2 La 0.1682 0.5000 0.5571
Tb1 Tb 0.1666 0.5000 0.2202
Y1 Y 0.0005 0.0000 0.3316
Y2 Y 0.1667 0.5000 0.8894
```

Summary:
polymorph energy (0 for the lowest one): 0 kJ/mol of formula units
Fermi-level density of states: 1.396 states/eV per atom
calculated formation energy: 0.02 eV/atom
density: 6.0 Mg/m³